No. 1
Computed, not measured: a relaxed structure of Sr2GdBr at the GGA-PBE level of DFT.

* ΔE_f (raw): -412 meV per atom
* VASP energy: -5.1912 eV per atom

a = 12.215 Å, b = 12.215 Å, c = 12.215 Å
α = 18.44°, β = 18.44°, γ = 18.44°
Fractional coordinates of all 4 atoms:
Sr 0.101 0.101 0.101
Sr 0.899 0.899 0.899
Gd 0.000 0.000 0.000
Br 0.500 0.500 0.500


No. 2
Computed, not measured: a relaxed structure of Be2CoBr at the GGA-PBE level of DFT.

* ΔE_f (raw): 694 meV per atom
* VASP energy: -3.3639 eV per atom

a = 4.735 Å, b = 4.735 Å, c = 4.735 Å
α = 142.28°, β = 128.99°, γ = 65.15°
Fractional coordinates of all 4 atoms:
Be 0.000 0.000 0.000
Be 0.774 0.274 0.500
Co 0.557 0.557 0.000
Br 0.229 0.729 0.500


No. 3
Computed, not measured: a relaxed structure of SrAlMo at the GGA-PBE level of DFT.

* VASP energy: -3.8230 eV per atom
* formation enthalpy at 0 K: 1596 meV per atom

a = 5.065 Å, b = 5.065 Å, c = 5.065 Å
α = 60.00°, β = 60.00°, γ = 60.00°
Fractional coordinates of all 3 atoms:
Sr 0.000 0.000 0.000
Al 0.250 0.250 0.250
Mo 0.750 0.750 0.750


No. 4
Computed, not measured: a relaxed structure of SmNi6B3 at the GGA-PBE level of DFT.

* VASP energy: -6.1948 eV per atom
* formation enthalpy at 0 K: -251 meV per atom

a = 5.881 Å, b = 5.881 Å, c = 5.881 Å
α = 50.22°, β = 50.22°, γ = 50.22°
Fractional coordinates of all 10 atoms:
Sm 0.000 0.000 0.000
Ni 0.073 0.579 0.569
Ni 0.338 0.423 0.879
Ni 0.423 0.879 0.338
Ni 0.569 0.073 0.579
Ni 0.579 0.569 0.073
Ni 0.879 0.338 0.423
B 0.307 0.307 0.307
B 0.641 0.641 0.641
B 0.834 0.834 0.834


No. 5
Computed, not measured: a relaxed structure of Ca3YC at the GGA-PBE level of DFT.

* VASP energy: -2.1676 eV per atom
* formation enthalpy at 0 K: 2171 meV per atom

a = 6.373 Å, b = 6.373 Å, c = 6.373 Å
α = 90.00°, β = 90.00°, γ = 90.00°
Fractional coordinates of all 5 atoms:
Ca 0.000 0.000 0.500
Ca 0.000 0.500 0.000
Ca 0.500 0.000 0.000
Y 0.000 0.000 0.000
C 0.500 0.500 0.500


No. 6
Computed, not measured: a relaxed structure of Dy2YEr5 at the GGA-PBE level of DFT.

* VASP energy: -4.7907 eV per atom
* formation enthalpy at 0 K: 20 meV per atom

a = 7.047 Å, b = 14.093 Å, c = 4.976 Å
α = 90.00°, β = 90.00°, γ = 90.00°
Fractional coordinates of all 16 atoms:
Dy 0.250 0.126 0.000
Dy 0.250 0.626 0.000
Dy 0.750 0.374 0.000
Dy 0.750 0.874 0.000
Y 0.000 0.000 0.500
Y 0.500 0.500 0.500
Er 0.000 0.251 0.500
Er 0.000 0.500 0.500
Er 0.000 0.749 0.500
Er 0.249 0.375 0.000
Er 0.251 0.875 0.000
Er 0.500 0.000 0.500
Er 0.500 0.249 0.500
Er 0.500 0.751 0.500
Er 0.749 0.125 0.000
Er 0.751 0.625 0.000


No. 7
Computed, not measured: a relaxed structure of HfFe2Cl at the GGA-PBE level of DFT.

* ΔE_f (raw): 662 meV per atom
* VASP energy: -6.5194 eV per atom

a = 4.399 Å, b = 4.399 Å, c = 4.399 Å
α = 60.00°, β = 60.00°, γ = 60.00°
Fractional coordinates of all 4 atoms:
Hf 0.000 0.000 0.000
Fe 0.250 0.250 0.250
Fe 0.750 0.750 0.750
Cl 0.500 0.500 0.500


No. 8
Computed, not measured: a relaxed structure of NdLu2Sb at the GGA-PBE level of DFT.

* ΔE_f (raw): -431 meV per atom
* VASP energy: -4.9137 eV per atom

a = 3.909 Å, b = 3.909 Å, c = 7.483 Å
α = 90.00°, β = 90.00°, γ = 90.00°
Fractional coordinates of all 4 atoms:
Nd 0.000 0.000 0.000
Lu 0.500 0.500 0.283
Lu 0.500 0.500 0.717
Sb 0.000 0.000 0.500